A relaxed Tl4SICl crystal, computed with GGA-PBE.

The total energy comes out at -20.9 eV per formula unit.

```
Tl4SICl
1.0
8.226 0.000 0.000
0.000 7.303 0.000
-0.898 0.000 8.740
Tl S I Cl
8 2 2 2
Direct
0.026 0.250 0.380 Tl
0.132 0.250 0.877 Tl
0.370 0.006 0.262 Tl
0.370 0.494 0.262 Tl
0.630 0.506 0.738 Tl
0.630 0.994 0.738 Tl
0.868 0.750 0.123 Tl
0.974 0.750 0.620 Tl
0.125 0.750 0.358 S
0.875 0.250 0.642 S
0.278 0.750 0.928 I
0.722 0.250 0.072 I
0.364 0.250 0.608 Cl
0.636 0.750 0.392 Cl
```

***

A relaxed TlS2ICl crystal, computed with GGA-PBE.

The energy above the most stable polymorph in this dataset comes out at 304.9 meV/atom. The total energy comes out at -11.5 eV per formula unit.

```
TlS2ICl
1.0
5.293 0.000 0.000
0.000 5.293 0.000
0.000 0.000 5.152
Tl S I Cl
1 2 1 1
Direct
0.000 0.000 0.000 Tl
0.000 0.500 0.000 S
0.500 0.000 0.000 S
0.500 0.500 0.500 I
0.000 0.000 0.500 Cl
```

***

A relaxed Tl6S2I2Cl crystal, computed with GGA-PBE.

The total energy comes out at -32.8 eV per formula unit.

```
Tl6S2I2Cl
1.0
3.747 -6.966 0.000
3.747 6.966 0.000
-2.497 0.000 8.218
Tl S I Cl
6 2 2 1
Direct
0.075 0.441 0.794 Tl
0.221 0.221 0.200 Tl
0.441 0.075 0.794 Tl
0.559 0.925 0.206 Tl
0.779 0.779 0.800 Tl
0.925 0.559 0.206 Tl
0.173 0.827 0.000 S
0.827 0.173 0.000 S
0.341 0.659 0.500 I
0.659 0.341 0.500 I
0.500 0.500 0.000 Cl
```

***

Q: What is the formula in the first record?
A: Tl4SICl